[1]
First-principles (GGA-PBE) data for an optimized crystal structure of KCaRe2, as listed in Alexandria.

```
data_KCaRe2
_chemical_formula_sum 'K1 Ca1 Re2'
_cell_length_a 2.704
_cell_length_b 2.704
_cell_length_c 10.971
_cell_angle_alpha 90.00
_cell_angle_beta 90.00
_cell_angle_gamma 90.00
_symmetry_space_group_name_H-M 'P 4/m m m'
_symmetry_Int_Tables_number 123
_symmetry_space_group_name_Hall '-P 4 2'
loop_
_atom_site_label
_atom_site_type_symbol
_atom_site_fract_x
_atom_site_fract_y
_atom_site_fract_z
K1 K 0.000 0.000 0.000
Ca1 Ca 0.000 0.000 0.500
Re1 Re 0.500 0.500 0.271
```

## Properties
Fermi-level density of states = 0.51 states/eV per atom
E above lowest polymorph = 517 meV/atom
E_form = 1.11 eV/atom

---

[2]
First-principles (GGA-PBE) data for an optimized crystal structure of KCaRe4, as listed in Alexandria.

```
data_KCaRe4
_chemical_formula_sum 'K4 Ca4 Re16'
_cell_length_a 7.726
_cell_length_b 7.726
_cell_length_c 7.726
_cell_angle_alpha 90.00
_cell_angle_beta 90.00
_cell_angle_gamma 90.00
_symmetry_space_group_name_H-M 'F -4 3 m'
_symmetry_Int_Tables_number 216
_symmetry_space_group_name_Hall 'F -4 2 3'
loop_
_atom_site_label
_atom_site_type_symbol
_atom_site_fract_x
_atom_site_fract_y
_atom_site_fract_z
K1 K 0.000 0.000 0.000
Ca1 Ca 0.250 0.250 0.250
Re1 Re 0.125 0.125 0.625
```

## Properties
Fermi-level density of states = 1.27 states/eV per atom
E_form = 0.83 eV/atom

---

[3]
First-principles (GGA-PBE) data for an optimized crystal structure of K2CaRe, as listed in Alexandria.

```
data_K2CaRe
_chemical_formula_sum 'K4 Ca2 Re2'
_cell_length_a 2.984
_cell_length_b 6.395
_cell_length_c 16.079
_cell_angle_alpha 90.00
_cell_angle_beta 90.00
_cell_angle_gamma 90.00
_symmetry_space_group_name_H-M 'I m m 2'
_symmetry_Int_Tables_number 44
loop_
_symmetry_equiv_pos_as_xyz
'x,y,z'
'-x,-y,z'
'-x,y,z'
'x,-y,z'
'x+1/2,y+1/2,z+1/2'
'-x+1/2,-y+1/2,z+1/2'
'-x+1/2,y+1/2,z+1/2'
'x+1/2,-y+1/2,z+1/2'
loop_
_atom_site_label
_atom_site_type_symbol
_atom_site_fract_x
_atom_site_fract_y
_atom_site_fract_z
K1 K 0.000 0.000 0.000
K2 K 0.000 0.500 0.186
Ca1 Ca 0.000 0.000 0.339
Re1 Re 0.000 0.500 0.689
```

## Properties
Fermi-level density of states = 1.10 states/eV per atom
E above lowest polymorph = 183 meV/atom
E_form = 1.20 eV/atom

---

[4]
First-principles (GGA-PBE) data for an optimized crystal structure of K2CaRe, as listed in Alexandria.

```
data_K2CaRe
_chemical_formula_sum 'K4 Ca2 Re2'
_cell_length_a 4.270
_cell_length_b 4.288
_cell_length_c 13.102
_cell_angle_alpha 90.00
_cell_angle_beta 90.00
_cell_angle_gamma 90.00
_symmetry_space_group_name_H-M 'C m m m'
_symmetry_Int_Tables_number 65
_symmetry_space_group_name_Hall '-C 2 2'
loop_
_atom_site_label
_atom_site_type_symbol
_atom_site_fract_x
_atom_site_fract_y
_atom_site_fract_z
K1 K 0.000 0.000 0.207
Ca1 Ca 0.000 0.500 0.500
Re1 Re 0.000 0.500 0.000
```

## Properties
Fermi-level density of states = 1.02 states/eV per atom
E above lowest polymorph = 302 meV/atom
E_form = 1.32 eV/atom